Here is RbTcI3 after structural relaxation from the Alexandria database. Energies are from PBE-GGA.

Calculated values
Total magnetic moment   0.000 μB per cell
Space-group type   P2_1/m (11)
Raw formation energy   -0.384 eV/atom
DFT total energy   -3.5806 eV per atom

Geometry as POSCAR:
```
RbTcI3
1.0
9.874 0.000 0.000
0.000 3.990 0.000
-4.784 0.000 8.724
Rb Tc I
2 2 6
Direct
0.166 0.250 0.335
0.834 0.750 0.665
0.434 0.250 0.925
0.566 0.750 0.075
0.177 0.250 0.963
0.204 0.750 0.667
0.463 0.750 0.284
0.537 0.250 0.716
0.796 0.250 0.333
0.823 0.750 0.037
```